# Pr2SnHg

Pr2SnHg after structural relaxation (PBEsol, Alexandria).

Space-group type: Fm-3m, No. 225
Energy of formation, eV per atom: -0.665

a b c (Å): 5.3901 5.3901 5.3901
angles (deg): 60.00 60.00 60.00
Closest atoms and distances in Å follow each position.
Atoms (fractional coordinates):
Pr 0.2500 0.2500 0.2500  4 Hg 3.30, 4 Sn 3.30
Pr 0.7500 0.7500 0.7500  4 Hg 3.30, 4 Sn 3.30
Sn 0.0000 0.0000 0.0000  8 Pr 3.30
Hg 0.5000 0.5000 0.5000  8 Pr 3.30

# Pr2TlHg

Pr2TlHg after structural relaxation (PBEsol, Alexandria).

Space-group type: Fm-3m, No. 225
Energy of formation, eV per atom: -0.492

a b c (Å): 5.4165 5.4165 5.4165
angles (deg): 60.00 60.00 60.00
Closest atoms and distances in Å follow each position.
Atoms (fractional coordinates):
Pr 0.2500 0.2500 0.2500  4 Hg 3.32, 4 Tl 3.32
Pr 0.7500 0.7500 0.7500  4 Hg 3.32, 4 Tl 3.32
Tl 0.0000 0.0000 0.0000  8 Pr 3.32
Hg 0.5000 0.5000 0.5000  8 Pr 3.32

# Pr2ZnHg

Pr2ZnHg after structural relaxation (PBEsol, Alexandria).

Space-group type: Fm-3m, No. 225
Energy of formation, eV per atom: -0.398

a b c (Å): 5.2681 5.2681 5.2681
angles (deg): 60.00 60.00 60.00
Closest atoms and distances in Å follow each position.
Atoms (fractional coordinates):
Pr 0.2500 0.2500 0.2500  4 Hg 3.23, 4 Zn 3.23
Pr 0.7500 0.7500 0.7500  4 Hg 3.23, 4 Zn 3.23
Zn 0.0000 0.0000 0.0000  8 Pr 3.23
Hg 0.5000 0.5000 0.5000  8 Pr 3.23

# Hg3Pt

Hg3Pt after structural relaxation (PBEsol, Alexandria).

Space-group type: Pnma, No. 62
Energy of formation, eV per atom: -0.041
ΔE to the lowest computed polymorph, eV/f.u.: 0.00

a b c (Å): 7.2420 8.6661 5.3192
angles (deg): 90.00 90.00 90.00
Closest atoms and distances in Å follow each position.
Atoms (fractional coordinates):
Hg 0.0038 0.2500 0.0961  3 Pt 2.76-2.91
Hg 0.1687 0.5443 0.3676  3 Pt 2.73-2.86, 3 Hg 2.92-3.01
Hg 0.1687 0.9557 0.3676  3 Pt 2.73-2.86, 3 Hg 2.92-3.01
Hg 0.3313 0.0443 0.8676  3 Pt 2.73-2.86, 3 Hg 2.92-3.01
Hg 0.3313 0.4557 0.8676  3 Pt 2.73-2.86, 3 Hg 2.92-3.01
Hg 0.4962 0.7500 0.5961  3 Pt 2.76-2.91
Hg 0.5038 0.2500 0.4039  3 Pt 2.76-2.91
Hg 0.6687 0.5443 0.1324  3 Pt 2.73-2.86, 3 Hg 2.92-3.01
Hg 0.6687 0.9557 0.1324  3 Pt 2.73-2.86, 3 Hg 2.92-3.01
Hg 0.8313 0.0443 0.6324  3 Pt 2.73-2.86, 3 Hg 2.92-3.01
Hg 0.8313 0.4557 0.6324  3 Pt 2.73-2.86, 3 Hg 2.92-3.01
Hg 0.9962 0.7500 0.9039  3 Pt 2.76-2.91
Pt 0.1386 0.2500 0.5816  9 Hg 2.73-2.91
Pt 0.3614 0.7500 0.0816  9 Hg 2.73-2.91
Pt 0.6386 0.2500 0.9184  9 Hg 2.73-2.91
Pt 0.8614 0.7500 0.4184  9 Hg 2.73-2.91

# Hg3Pt

Hg3Pt after structural relaxation (PBEsol, Alexandria).

Space-group type: Pm-3m, No. 221
Energy of formation, eV per atom: 0.091
ΔE to the lowest computed polymorph, eV/f.u.: 0.53

a b c (Å): 5.2304 5.2304 5.2304
angles (deg): 90.00 90.00 90.00
Closest atoms and distances in Å follow each position.
Atoms (fractional coordinates):
Hg 0.0000 0.0000 0.5000  2 Pt 2.62
Hg 0.0000 0.5000 0.0000  2 Pt 2.62
Hg 0.5000 0.0000 0.0000  2 Pt 2.62
Pt 0.0000 0.0000 0.0000  6 Hg 2.62

# HgPt5

HgPt5 after structural relaxation (PBEsol, Alexandria).

Space-group type: Cm, No. 8
Energy of formation, eV per atom: 0.069

a b c (Å): 5.4762 5.4762 6.7413
angles (deg): 106.75 106.75 29.31
Closest atoms and distances in Å follow each position.
Atoms (fractional coordinates):
Hg 0.0000 0.0000 0.0000  2 Hg 2.77, 10 Pt 2.79-2.93
Pt 0.0571 0.0571 0.6125  11 Pt 2.74-2.89, 1 Hg 2.85
Pt 0.3287 0.3287 0.6626  10 Pt 2.73-2.89, 2 Hg 2.82
Pt 0.3874 0.3874 0.2912  10 Pt 2.74-2.87, 2 Hg 2.93
Pt 0.6656 0.6656 0.3364  10 Pt 2.73-2.87, 2 Hg 2.79
Pt 0.7279 0.7279 0.9521  9 Pt 2.77-2.86, 3 Hg 2.80-2.88

# Hg3Pt

Hg3Pt after structural relaxation (PBEsol, Alexandria).

Space-group type: P4/mmm, No. 123
Energy of formation, eV per atom: 0.080
ΔE to the lowest computed polymorph, eV/f.u.: 0.49

a b c (Å): 2.9745 2.9745 8.9871
angles (deg): 90.00 90.00 90.00
Closest atoms and distances in Å follow each position.
Atoms (fractional coordinates):
Hg 0.0000 0.0000 0.0000  12 Hg 2.97-3.29
Hg 0.5000 0.5000 0.2817  4 Pt 2.88, 4 Hg 2.97
Hg 0.5000 0.5000 0.7183  4 Pt 2.88, 4 Hg 2.97
Pt 0.0000 0.0000 0.5000  8 Hg 2.88, 4 Pt 2.97

# HgPt2

HgPt2 after structural relaxation (PBEsol, Alexandria).

Space-group type: C2/m, No. 12
Energy of formation, eV per atom: 0.055

a b c (Å): 5.5858 5.5858 6.7394
angles (deg): 106.63 106.63 29.54
Closest atoms and distances in Å follow each position.
Atoms (fractional coordinates):
Hg 0.0262 0.0262 0.2970  9 Pt 2.80-2.96, 3 Hg 2.85-2.95
Hg 0.9738 0.9738 0.7030  9 Pt 2.80-2.96, 3 Hg 2.85-2.95
Pt 0.3009 0.3009 0.3596  7 Pt 2.76-2.85, 5 Hg 2.87-2.96
Pt 0.3541 0.3541 0.9728  8 Pt 2.76-3.06, 4 Hg 2.80-2.90
Pt 0.6459 0.6459 0.0272  8 Pt 2.76-3.06, 4 Hg 2.80-2.90
Pt 0.6991 0.6991 0.6404  7 Pt 2.76-2.85, 5 Hg 2.87-2.96

# HgPt7

HgPt7 after structural relaxation (PBEsol, Alexandria).

Space-group type: Fm-3m, No. 225
Energy of formation, eV per atom: 0.014

a b c (Å): 5.5947 5.5947 5.5947
angles (deg): 60.00 60.00 60.00
Closest atoms and distances in Å follow each position.
Atoms (fractional coordinates):
Hg 0.0000 0.0000 0.0000  12 Pt 2.80
Pt 0.0000 0.0000 0.5000  10 Pt 2.80, 2 Hg 2.80
Pt 0.0000 0.5000 0.0000  10 Pt 2.80, 2 Hg 2.80
Pt 0.0000 0.5000 0.5000  10 Pt 2.80, 2 Hg 2.80
Pt 0.5000 0.0000 0.0000  10 Pt 2.80, 2 Hg 2.80
Pt 0.5000 0.0000 0.5000  10 Pt 2.80, 2 Hg 2.80
Pt 0.5000 0.5000 0.0000  10 Pt 2.80, 2 Hg 2.80
Pt 0.5000 0.5000 0.5000  12 Pt 2.80

# HgPt2

HgPt2 after structural relaxation (PBEsol, Alexandria).

Space-group type: I4_1/amd, No. 141
Energy of formation, eV per atom: 0.357

a b c (Å): 9.1975 9.1975 9.1975
angles (deg): 157.74 157.74 31.69
Closest atoms and distances in Å follow each position.
Atoms (fractional coordinates):
Hg 0.3750 0.6250 0.7500  8 Pt 2.83
Hg 0.6250 0.3750 0.2500  8 Pt 2.83
Pt 0.0518 0.8018 0.2500  3 Pt 2.55-2.59, 4 Hg 2.83
Pt 0.1982 0.9482 0.2500  3 Pt 2.55-2.59, 4 Hg 2.83
Pt 0.8018 0.0518 0.7500  3 Pt 2.55-2.59, 4 Hg 2.83
Pt 0.9482 0.1982 0.7500  3 Pt 2.55-2.59, 4 Hg 2.83

# Hg3Pt

Hg3Pt after structural relaxation (PBEsol, Alexandria).

Space-group type: Pm-3m, No. 221
Energy of formation, eV per atom: 0.130
ΔE to the lowest computed polymorph, eV/f.u.: 0.68

a b c (Å): 4.2352 4.2352 4.2352
angles (deg): 90.00 90.00 90.00
Closest atoms and distances in Å follow each position.
Atoms (fractional coordinates):
Hg 0.0000 0.0000 0.5000  8 Hg 2.99, 4 Pt 2.99
Hg 0.0000 0.5000 0.0000  8 Hg 2.99, 4 Pt 2.99
Hg 0.5000 0.0000 0.0000  8 Hg 2.99, 4 Pt 2.99
Pt 0.5000 0.5000 0.5000  12 Hg 2.99

# HgPt

HgPt after structural relaxation (PBEsol, Alexandria).

Space-group type: P-3m1, No. 164
Energy of formation, eV per atom: 0.170

a b c (Å): 2.9108 2.9108 9.6006
angles (deg): 90.00 90.00 120.00
Closest atoms and distances in Å follow each position.
Atoms (fractional coordinates):
Hg 0.3333 0.6667 0.3595  3 Pt 2.87, 9 Hg 2.91-3.18
Hg 0.6667 0.3333 0.6405  3 Pt 2.87, 9 Hg 2.91-3.18
Pt 0.3333 0.6667 0.8834  9 Pt 2.80-2.91, 3 Hg 2.87
Pt 0.6667 0.3333 0.1166  9 Pt 2.80-2.91, 3 Hg 2.87

# Hg3Pt

Hg3Pt after structural relaxation (PBEsol, Alexandria).

Space-group type: R-3m, No. 166
Energy of formation, eV per atom: 0.117
ΔE to the lowest computed polymorph, eV/f.u.: 0.63

a b c (Å): 9.7926 9.7926 9.7926
angles (deg): 18.06 18.06 18.06
Closest atoms and distances in Å follow each position.
Atoms (fractional coordinates):
Hg 0.0000 0.0000 0.0000  12 Hg 3.07-3.16
Hg 0.2429 0.2429 0.2429  3 Pt 2.83, 9 Hg 3.07-3.16
Hg 0.7571 0.7571 0.7571  3 Pt 2.83, 9 Hg 3.07-3.16
Pt 0.5000 0.5000 0.5000  6 Hg 2.83, 6 Pt 3.07

# Hg3Pt

Hg3Pt after structural relaxation (PBEsol, Alexandria).

Space-group type: P2/m, No. 10
Energy of formation, eV per atom: 0.112
ΔE to the lowest computed polymorph, eV/f.u.: 0.61

a b c (Å): 3.0801 4.6851 5.5456
angles (deg): 90.00 97.98 90.00
Closest atoms and distances in Å follow each position.
Atoms (fractional coordinates):
Hg 0.0000 0.0000 0.0000  2 Pt 2.77, 6 Hg 3.02-3.08
Hg 0.3428 0.5000 0.7374  2 Pt 2.82, 7 Hg 2.93-3.14
Hg 0.6572 0.5000 0.2626  2 Pt 2.82, 7 Hg 2.93-3.14
Pt 0.0000 0.0000 0.5000  6 Hg 2.77-2.82, 2 Pt 3.08

# HgPt5

HgPt5 after structural relaxation (PBEsol, Alexandria).

Space-group type: P4/mmm, No. 123
Energy of formation, eV per atom: 0.029

a b c (Å): 2.8226 2.8226 11.8301
angles (deg): 90.00 90.00 90.00
Closest atoms and distances in Å follow each position.
Atoms (fractional coordinates):
Hg 0.0000 0.0000 0.0000  4 Hg 2.82, 8 Pt 2.91
Pt 0.0000 0.0000 0.3407  12 Pt 2.75-2.82
Pt 0.0000 0.0000 0.6593  12 Pt 2.75-2.82
Pt 0.5000 0.5000 0.1787  8 Pt 2.77-2.82, 4 Hg 2.91
Pt 0.5000 0.5000 0.5000  12 Pt 2.75-2.82
Pt 0.5000 0.5000 0.8213  8 Pt 2.77-2.82, 4 Hg 2.91